{"formula": "Ta2CN", "functional": "PBE-GGA", "state": "relaxed", "lattice_angstrom": [[3.154, 0.000, 0.000], [1.577, 2.732, 0.000], [1.577, 0.911, 5.173]], "species": ["C", "N", "Ta", "Ta"], "fractional_positions": [[0.000, 0.000, 0.000], [0.500, 0.500, 0.500], [0.257, 0.257, 0.229], [0.743, 0.743, 0.771]], "formation_energy_uncorrected_ev_per_atom": -0.7770, "sg": "R-3m", "total_magnetization_mub_per_fu": 0.0}

{"formula": "Tl2AsPt", "functional": "PBE-GGA", "state": "relaxed", "lattice_angstrom": [[3.500, 0.000, 0.000], [0.000, 4.597, -0.009], [0.000, 2.308, 6.159]], "species": ["Pt", "Tl", "As", "Tl"], "fractional_positions": [[0.500, 0.545, 0.785], [0.000, 0.977, 0.922], [0.000, 0.685, 0.505], [0.500, 0.293, 0.288]], "formation_enthalpy_0k_ev_per_atom": -0.07, "sg": "Amm2", "total_magnetization_mub_per_fu": 0.0}

Uncorrected energy readings, ordered: -11.09 -3.92 eV per atom
D(E_F) readings, ordered: 1.37 1.48 states/eV per cell
Energy relative to the lowest polymorph listed for this composition readings, ordered: 0.0000 0.1170 eV per atom